[1]
Entry from the Alexandria database: an optimized crystal structure of TcAgRu2 (PBE).

Values from the calculation:
magnetic moment	0.000	μB per atom
calculated formation energy	0.31	eV per atom
crystal system	tetragonal
calculated total energy	-7.636	eV per atom
space group	P4/mmm, No. 123
energy above the most stable polymorph in this dataset	111.1	meV per atom

a = 2.753 Å, b = 2.753 Å, c = 7.966 Å
α = 90.00°, β = 90.00°, γ = 90.00°
Fractional positions:
Tc  0.000  0.000  0.000
Ag  0.000  0.000  0.500
Ru  0.500  0.500  0.229
Ru  0.500  0.500  0.771

[2]
Entry from the Alexandria database: an optimized crystal structure of Nd8Dy4Y (PBE).

Values from the calculation:
magnetic moment	0.000	μB per atom
calculated formation energy	0.46	eV per atom
crystal system	triclinic
calculated total energy	-4.386	eV per atom
space group	P-1, No. 2

a = 7.821 Å, b = 7.902 Å, c = 7.966 Å
α = 89.92°, β = 89.99°, γ = 89.40°
Fractional positions:
Nd  0.240  0.262  0.259
Nd  0.241  0.742  0.263
Nd  0.244  0.263  0.738
Nd  0.244  0.742  0.736
Nd  0.756  0.258  0.264
Nd  0.756  0.737  0.262
Nd  0.759  0.258  0.737
Nd  0.760  0.738  0.741
Dy  0.000  0.000  0.000
Dy  0.000  0.500  0.500
Dy  0.500  0.000  0.500
Dy  0.500  0.500  0.000
Y  0.500  0.000  0.000

[3]
Entry from the Alexandria database: an optimized crystal structure of LaTaTe2I (PBE).

Values from the calculation:
magnetic moment	0.259	μB per atom
crystal system	tetragonal
calculated total energy	-5.102	eV per atom
formation energy (no corrections)	-179	meV per atom
space group	P4/mmm, No. 123

a = 5.441 Å, b = 5.441 Å, c = 5.488 Å
α = 90.00°, β = 90.00°, γ = 90.00°
Fractional positions:
La  0.000  0.000  0.000
Ta  0.500  0.500  0.500
Te  0.000  0.500  0.500
Te  0.500  0.000  0.500
I  0.500  0.500  0.000

[4]
Entry from the Alexandria database: an optimized crystal structure of Pr3Bi2Sb2Rh4 (PBE).

Values from the calculation:
magnetic moment	0.000	μB per atom
crystal system	trigonal
calculated total energy	-6.138	eV per atom
formation energy (no corrections)	-706	meV per atom
space group	P-3m1, No. 164

a = 4.682 Å, b = 4.682 Å, c = 13.872 Å
α = 90.00°, β = 90.00°, γ = 120.00°
Fractional positions:
Pr  0.000  0.000  0.000
Pr  0.000  0.000  0.272
Pr  0.000  0.000  0.728
Bi  0.333  0.667  0.572
Bi  0.667  0.333  0.428
Sb  0.333  0.667  0.150
Sb  0.667  0.333  0.850
Rh  0.333  0.667  0.369
Rh  0.333  0.667  0.878
Rh  0.667  0.333  0.122
Rh  0.667  0.333  0.631

[5]
Entry from the Alexandria database: an optimized crystal structure of LiHg2Au (PBE).

Values from the calculation:
magnetic moment	0.000	μB per atom
calculated formation energy	-0.17	eV per atom
crystal system	trigonal
calculated total energy	-1.616	eV per atom
space group	R3m, No. 160

a = 5.442 Å, b = 5.442 Å, c = 5.442 Å
α = 51.89°, β = 51.89°, γ = 51.89°
Fractional positions:
Li  0.000  0.000  0.000
Hg  0.582  0.582  0.582
Hg  0.787  0.787  0.787
Au  0.195  0.195  0.195

[6]
Entry from the Alexandria database: an optimized crystal structure of Cr2CuSb (PBE).

Values from the calculation:
magnetic moment	1.787	μB per atom
crystal system	trigonal
calculated total energy	-6.224	eV per atom
formation energy (no corrections)	643	meV per atom
space group	R-3m, No. 166

a = 8.218 Å, b = 8.218 Å, c = 8.218 Å
α = 22.28°, β = 22.28°, γ = 22.28°
Fractional positions:
Cr  0.244  0.244  0.244
Cr  0.756  0.756  0.756
Cu  0.500  0.500  0.500
Sb  0.000  0.000  0.000

[7]
Entry from the Alexandria database: an optimized crystal structure of NbIrRuBr2 (PBE).

Values from the calculation:
magnetic moment	0.414	μB per atom
crystal system	tetragonal
calculated total energy	-4.790	eV per atom
formation energy (no corrections)	1521	meV per atom
space group	P4/mmm, No. 123

a = 4.932 Å, b = 4.932 Å, c = 4.960 Å
α = 90.00°, β = 90.00°, γ = 90.00°
Fractional positions:
Nb  0.000  0.000  0.000
Ir  0.500  0.500  0.500
Ru  0.000  0.000  0.500
Br  0.000  0.500  0.000
Br  0.500  0.000  0.000

[8]
Entry from the Alexandria database: an optimized crystal structure of OsBr2F8 (PBE).

Values from the calculation:
magnetic moment	0.221	μB per atom
crystal system	triclinic
calculated total energy	-3.947	eV per atom
formation energy (no corrections)	-1261	meV per atom
space group	P-1, No. 2

a = 5.861 Å, b = 6.188 Å, c = 6.825 Å
α = 116.95°, β = 96.77°, γ = 90.00°
Fractional positions:
Os  0.000  0.000  0.000
Br  0.475  0.251  0.502
Br  0.525  0.749  0.498
F  0.069  0.113  0.797
F  0.070  0.684  0.799
F  0.318  0.070  0.138
F  0.395  0.607  0.213
F  0.605  0.393  0.787
F  0.682  0.930  0.862
F  0.930  0.316  0.201
F  0.931  0.887  0.203

[9]
Entry from the Alexandria database: an optimized crystal structure of RbNbSb2C (PBE).

Values from the calculation:
magnetic moment	0.577	μB per atom
crystal system	tetragonal
calculated total energy	-4.262	eV per atom
formation energy (no corrections)	1439	meV per atom
space group	P4/mmm, No. 123

a = 4.861 Å, b = 4.861 Å, c = 4.989 Å
α = 90.00°, β = 90.00°, γ = 90.00°
Fractional positions:
Rb  0.000  0.000  0.000
Nb  0.500  0.500  0.000
Sb  0.000  0.500  0.500
Sb  0.500  0.000  0.500
C  0.000  0.000  0.500

[10]
Entry from the Alexandria database: an optimized crystal structure of BeSe2BrCl (PBE).

Values from the calculation:
magnetic moment	0.000	μB per atom
crystal system	tetragonal
calculated total energy	-2.557	eV per atom
formation energy (no corrections)	286	meV per atom
space group	P4/mmm, No. 123
energy above the most stable polymorph in this dataset	0.0	meV per atom

a = 4.715 Å, b = 4.715 Å, c = 4.655 Å
α = 90.00°, β = 90.00°, γ = 90.00°
Fractional positions:
Be  0.000  0.000  0.000
Se  0.000  0.500  0.000
Se  0.500  0.000  0.000
Br  0.000  0.000  0.500
Cl  0.500  0.500  0.500

[11]
Entry from the Alexandria database: an optimized crystal structure of Nd2ZnNi3Sn4 (PBE).

Values from the calculation:
magnetic moment	0.000	μB per atom
calculated formation energy	-0.51	eV per atom
crystal system	tetragonal
calculated total energy	-4.924	eV per atom
space group	P-4m2, No. 115

a = 4.460 Å, b = 4.460 Å, c = 10.438 Å
α = 90.00°, β = 90.00°, γ = 90.00°
Fractional positions:
Nd  0.000  0.500  0.248
Nd  0.500  0.000  0.752
Zn  0.500  0.500  0.000
Ni  0.000  0.000  0.000
Ni  0.000  0.500  0.622
Ni  0.500  0.000  0.378
Sn  0.000  0.000  0.500
Sn  0.000  0.500  0.862
Sn  0.500  0.000  0.138
Sn  0.500  0.500  0.500

[12]
Entry from the Alexandria database: an optimized crystal structure of LiLaTa2 (PBE).

Values from the calculation:
magnetic moment	0.000	μB per atom
calculated formation energy	0.34	eV per atom
crystal system	orthorhombic
calculated total energy	-7.293	eV per atom
space group	Cmm2, No. 35
energy above the most stable polymorph in this dataset	0.0	meV per atom

a = 3.011 Å, b = 3.011 Å, c = 10.526 Å
α = 90.00°, β = 90.00°, γ = 113.21°
Fractional positions:
Li  0.000  0.000  0.000
La  0.500  0.500  0.295
Ta  0.000  0.000  0.564
Ta  0.500  0.500  0.768

[13]
Entry from the Alexandria database: an optimized crystal structure of Cs2KLi (PBE).

Values from the calculation:
magnetic moment	0.000	μB per atom
calculated formation energy	0.11	eV per atom
crystal system	tetragonal
calculated total energy	-1.066	eV per atom
space group	P4/mmm, No. 123
energy above the most stable polymorph in this dataset	0.0	meV per atom

a = 5.055 Å, b = 5.055 Å, c = 11.984 Å
α = 90.00°, β = 90.00°, γ = 90.00°
Fractional positions:
Cs  0.000  0.000  0.205
Cs  0.000  0.000  0.795
K  0.500  0.500  0.500
Li  0.500  0.500  0.000

[14]
Entry from the Alexandria database: an optimized crystal structure of InGa3Pd3 (PBE).

Values from the calculation:
magnetic moment	0.000	μB per atom
calculated formation energy	-0.06	eV per atom
crystal system	cubic
calculated total energy	-3.976	eV per atom
space group	Pm-3n, No. 223

a = 6.906 Å, b = 6.906 Å, c = 6.906 Å
α = 90.00°, β = 90.00°, γ = 90.00°
Fractional positions:
In  0.000  0.000  0.000
In  0.500  0.500  0.500
Ga  0.000  0.250  0.500
Ga  0.000  0.750  0.500
Ga  0.250  0.500  0.000
Ga  0.500  0.000  0.250
Ga  0.500  0.000  0.750
Ga  0.750  0.500  0.000
Pd  0.000  0.500  0.250
Pd  0.000  0.500  0.750
Pd  0.250  0.000  0.500
Pd  0.500  0.250  0.000
Pd  0.500  0.750  0.000
Pd  0.750  0.000  0.500

[15]
Entry from the Alexandria database: an optimized crystal structure of Ta2InBi (PBE).

Values from the calculation:
magnetic moment	0.000	μB per atom
calculated formation energy	0.72	eV per atom
crystal system	tetragonal
calculated total energy	-6.856	eV per atom
space group	I-42d, No. 122

a = 10.872 Å, b = 10.872 Å, c = 10.872 Å
α = 157.71°, β = 157.71°, γ = 31.74°
Fractional positions:
Ta  0.105  0.625  0.980
Ta  0.375  0.355  0.480
Ta  0.645  0.125  0.020
Ta  0.875  0.895  0.520
In  0.000  0.000  0.000
In  0.750  0.250  0.500
Bi  0.250  0.750  0.500
Bi  0.500  0.500  0.000

[16]
Entry from the Alexandria database: an optimized crystal structure of Y4TlBi2 (PBE).

Values from the calculation:
magnetic moment	0.000	μB per atom
calculated formation energy	-0.17	eV per atom
crystal system	tetragonal
calculated total energy	-5.313	eV per atom
space group	I4/mmm, No. 139
energy above the most stable polymorph in this dataset	267.5	meV per atom

a = 9.041 Å, b = 9.041 Å, c = 9.041 Å
α = 144.20°, β = 144.20°, γ = 51.53°
Fractional positions:
Y  0.000  0.500  0.500
Y  0.180  0.180  0.000
Y  0.500  0.000  0.500
Y  0.820  0.820  0.000
Tl  0.000  0.000  0.000
Bi  0.369  0.369  0.000
Bi  0.631  0.631  0.000

[17]
Entry from the Alexandria database: an optimized crystal structure of K2PrSiS4 (PBE).

Values from the calculation:
magnetic moment	0.000	μB per atom
crystal system	orthorhombic
calculated total energy	-4.700	eV per atom
formation energy (no corrections)	-1086	meV per atom
space group	Imma, No. 74

a = 8.265 Å, b = 8.265 Å, c = 8.265 Å
α = 121.87°, β = 118.17°, γ = 90.00°
Fractional positions:
K  0.000  0.000  0.000
K  0.500  0.000  0.000
K  0.500  0.000  0.500
K  0.500  0.500  0.500
Pr  0.000  0.500  0.500
Pr  0.500  0.500  0.000
Si  0.000  0.000  0.500
Si  0.000  0.500  0.000
S  0.188  0.743  0.444
S  0.201  0.257  0.944
S  0.216  0.232  0.516
S  0.216  0.700  0.984
S  0.784  0.300  0.016
S  0.784  0.768  0.484
S  0.799  0.743  0.056
S  0.812  0.257  0.556

[18]
Entry from the Alexandria database: an optimized crystal structure of NdEr6Se8 (PBE).

Values from the calculation:
magnetic moment	0.025	μB per atom
crystal system	trigonal
calculated total energy	-5.473	eV per atom
formation energy (no corrections)	-1471	meV per atom
space group	R-3, No. 148
energy above the most stable polymorph in this dataset	320.2	meV per atom

a = 7.610 Å, b = 7.610 Å, c = 7.610 Å
α = 91.69°, β = 91.69°, γ = 91.69°
Fractional positions:
Nd  0.000  0.000  0.000
Er  0.191  0.566  0.404
Er  0.404  0.191  0.566
Er  0.434  0.596  0.809
Er  0.566  0.404  0.191
Er  0.596  0.809  0.434
Er  0.809  0.434  0.596
Se  0.137  0.365  0.737
Se  0.236  0.236  0.236
Se  0.263  0.863  0.635
Se  0.365  0.737  0.137
Se  0.635  0.263  0.863
Se  0.737  0.137  0.365
Se  0.764  0.764  0.764
Se  0.863  0.635  0.263

[19]
Entry from the Alexandria database: an optimized crystal structure of Sc4AgMo (PBE).

Values from the calculation:
magnetic moment	0.000	μB per atom
calculated formation energy	0.56	eV per atom
crystal system	cubic
calculated total energy	-5.943	eV per atom
space group	F-43m, No. 216

a = 5.594 Å, b = 5.594 Å, c = 5.594 Å
α = 60.00°, β = 60.00°, γ = 60.00°
Fractional positions:
Sc  0.376  0.376  0.376
Sc  0.376  0.376  0.872
Sc  0.376  0.872  0.376
Sc  0.872  0.376  0.376
Ag  0.000  0.000  0.000
Mo  0.750  0.750  0.750